Entry 1:
Computed, not measured: a relaxed Ba2TbCdSe5 crystal at the PBE level of DFT.

The total magnetic moment comes out at 0.00 μB/f.u. Its density of states at the Fermi level is 6.9 states/eV/f.u. Its final energy is -4.50 eV per atom. Its calculated density is 5.67 g cm⁻³.

CIF file:
```
data_Ba2TbCdSe5
_cell_length_a 4.353
_cell_length_b 19.028
_cell_length_c 13.314
_cell_angle_alpha 90.00
_cell_angle_beta 90.00
_cell_angle_gamma 90.00
_symmetry_space_group_name_H-M 'C m c 21'
_symmetry_Int_Tables_number 36
_symmetry_space_group_name_Hall 'C 2c -2'
loop_
_atom_site_label
_atom_site_type_symbol
_atom_site_fract_x
_atom_site_fract_y
_atom_site_fract_z
_atom_site_occupancy
Ba1 Ba 0.000 0.115 0.000 1
Ba2 Ba 0.000 0.130 0.628 1
Tb1 Tb 0.000 0.208 0.328 1
Cd1 Cd 0.000 0.450 0.759 1
Se1 Se 0.000 0.055 0.373 1
Se2 Se 0.000 0.291 0.972 1
Se3 Se 0.000 0.309 0.682 1
Se4 Se 0.000 0.355 0.318 1
Se5 Se 0.000 0.495 0.080 1
```

***

Entry 2:
Computed, not measured: a relaxed Ta2NbGeH crystal at the PBE level of DFT.

The total magnetic moment comes out at 0.00 μB/f.u. Its density of states at the Fermi level is 0.3 states/eV/f.u. Its final energy is -8.49 eV per atom. Its calculated density is 12.29 g cm⁻³.

CIF file:
```
data_Ta2NbGeH
_cell_length_a 4.135
_cell_length_b 4.135
_cell_length_c 4.177
_cell_angle_alpha 90.00
_cell_angle_beta 90.00
_cell_angle_gamma 90.00
_symmetry_space_group_name_H-M 'P 4/m m m'
_symmetry_Int_Tables_number 123
_symmetry_space_group_name_Hall '-P 4 2'
loop_
_atom_site_label
_atom_site_type_symbol
_atom_site_fract_x
_atom_site_fract_y
_atom_site_fract_z
_atom_site_occupancy
Ta1 Ta 0.000 0.500 0.000 1
Nb1 Nb 0.000 0.000 0.500 1
Ge1 Ge 0.500 0.500 0.500 1
H1 H 0.000 0.000 0.000 1
```

***

Entry 3:
Computed, not measured: a relaxed AcErZn3 crystal at the PBE level of DFT.

The total magnetic moment comes out at 0.00 μB/f.u. Its density of states at the Fermi level is 4.6 states/eV/f.u. Its final energy is -2.79 eV per atom. Its calculated density is 8.11 g cm⁻³. Its formation energy from the elements is -0.2865 eV per atom.

CIF file:
```
data_AcErZn3
_cell_length_a 3.789
_cell_length_b 27.619
_cell_length_c 4.624
_cell_angle_alpha 90.00
_cell_angle_beta 90.00
_cell_angle_gamma 90.00
_symmetry_space_group_name_H-M 'C m c m'
_symmetry_Int_Tables_number 63
_symmetry_space_group_name_Hall '-C 2c 2'
loop_
_atom_site_label
_atom_site_type_symbol
_atom_site_fract_x
_atom_site_fract_y
_atom_site_fract_z
_atom_site_occupancy
Ac1 Ac 0.000 0.077 0.250 1
Er1 Er 0.000 0.211 0.750 1
Zn1 Zn 0.000 0.320 0.750 1
Zn2 Zn 0.000 0.374 0.250 1
Zn3 Zn 0.000 0.476 0.250 1
```

***

Entry 4:
Computed, not measured: a relaxed TiHg2C crystal at the PBE level of DFT.

The total magnetic moment comes out at 0.00 μB/f.u. Its density of states at the Fermi level is 2.1 states/eV/f.u. Its final energy is -3.66 eV per atom. Its calculated density is 10.06 g cm⁻³. Its formation energy from the elements is 0.7755 eV per atom.

CIF file:
```
data_TiHg2C
_cell_length_a 8.521
_cell_length_b 8.521
_cell_length_c 4.191
_cell_angle_alpha 90.00
_cell_angle_beta 90.00
_cell_angle_gamma 90.00
_symmetry_space_group_name_H-M 'I -4 2 d'
_symmetry_Int_Tables_number 122
_symmetry_space_group_name_Hall 'I -4 2bw'
loop_
_atom_site_label
_atom_site_type_symbol
_atom_site_fract_x
_atom_site_fract_y
_atom_site_fract_z
_atom_site_occupancy
Ti1 Ti 0.000 0.000 0.000 1
Hg1 Hg 0.137 0.250 0.625 1
C1 C 0.000 0.000 0.500 1
```